Entry 1:
Compound: Sm12TmSc3
Source: the Alexandria database
Functional: PBE-GGA
Structure: optimized geometry

Computed properties:
SG: P4/mmm
E in eV/atom: -4.9727
N(E_F) in states/eV/atom: 1.441
Size of the total moment in μB per formula unit: 0.000
ΔH_f (0 K) in meV/atom: 33

a b c (Å): 5.0205 5.0205 20.0393
angles (deg): 90.00 90.00 90.00
Fractional positions:
Sm  0.5000  0.5000  0.0000
Sm  0.5000  0.5000  0.2520
Sm  0.5000  0.5000  0.5000
Sm  0.5000  0.5000  0.7480
Sm  0.5000  0.0000  0.1279
Sm  0.5000  0.0000  0.3760
Sm  0.5000  0.0000  0.6240
Sm  0.5000  0.0000  0.8721
Sm  0.0000  0.5000  0.1279
Sm  0.0000  0.5000  0.3760
Sm  0.0000  0.5000  0.6240
Sm  0.0000  0.5000  0.8721
Tm  0.0000  0.0000  0.0000
Sc  0.0000  0.0000  0.2519
Sc  0.0000  0.0000  0.5000
Sc  0.0000  0.0000  0.7481


Entry 2:
Compound: SmTm2Sc9
Source: the Alexandria database
Functional: PBE-GGA
Structure: optimized geometry

Computed properties:
SG: P6/mmm
E in eV/atom: -5.8242
N(E_F) in states/eV/atom: 1.667
Size of the total moment in μB per formula unit: 0.000
ΔH_f (0 K) in meV/atom: 63

a b c (Å): 3.2968 10.4853 10.4853
angles (deg): 120.00 90.00 90.00
Fractional positions:
Sm  0.0000  0.0000  0.0000
Tm  0.0000  0.3333  0.6667
Tm  0.0000  0.6667  0.3333
Sc  0.0000  0.0000  0.5000
Sc  0.0000  0.5000  0.5000
Sc  0.0000  0.5000  0.0000
Sc  0.5000  0.3543  0.1772
Sc  0.5000  0.1772  0.8228
Sc  0.5000  0.1772  0.3543
Sc  0.5000  0.8228  0.6457
Sc  0.5000  0.8228  0.1772
Sc  0.5000  0.6457  0.8228


Entry 3:
Compound: Sm8Tm2Sc3
Source: the Alexandria database
Functional: PBE-GGA
Structure: optimized geometry

Computed properties:
SG: Cmmm
E in eV/atom: -4.8457
N(E_F) in states/eV/atom: 1.382
Size of the total moment in μB per formula unit: 0.000
Relative energy among the computed polymorphs in eV/f.u.: 0.00
ΔH_f (0 K) in meV/atom: 207

a b c (Å): 5.5773 7.5937 10.5102
angles (deg): 111.18 90.01 90.00
Fractional positions:
Sm  0.9997  0.3296  0.6592
Sm  0.0003  0.6704  0.3408
Sm  0.0001  0.8745  0.7490
Sm  0.9999  0.1255  0.2510
Sm  0.5001  0.8067  0.2028
Sm  0.5001  0.3961  0.2028
Sm  0.4999  0.6039  0.7972
Sm  0.4999  0.1933  0.7972
Tm  0.5004  0.7614  0.5228
Tm  0.4996  0.2386  0.4772
Sc  0.5000  0.0000  0.0000
Sc  0.0000  0.2944  0.0000
Sc  0.0000  0.7056  0.0000


Entry 4:
Compound: Sm6TmSc2
Source: the Alexandria database
Functional: PBE-GGA
Structure: optimized geometry

Computed properties:
SG: C2/c
E in eV/atom: -4.8353
N(E_F) in states/eV/atom: 1.377
Size of the total moment in μB per formula unit: 0.000
Relative energy among the computed polymorphs in eV/f.u.: 0.47
ΔH_f (0 K) in meV/atom: 215

a b c (Å): 6.3426 10.3488 10.3488
angles (deg): 82.13 66.38 66.38
Fractional positions:
Sm  0.4146  0.6709  0.4290
Sm  0.0854  0.5710  0.3291
Sm  0.5854  0.3291  0.5710
Sm  0.9146  0.4290  0.6709
Sm  0.7970  0.9947  0.4288
Sm  0.7030  0.5712  0.0053
Sm  0.2030  0.0053  0.5712
Sm  0.2970  0.4288  0.9947
Sm  0.2543  0.8405  0.9387
Sm  0.2457  0.0613  0.1595
Sm  0.7457  0.1595  0.0613
Sm  0.7543  0.9387  0.8405
Tm  0.2500  0.1782  0.8218
Tm  0.7500  0.8218  0.1782
Sc  0.1822  0.6363  0.7471
Sc  0.3178  0.2529  0.3637
Sc  0.8178  0.3637  0.2529
Sc  0.6822  0.7471  0.6363


Entry 5:
Compound: Sm12Tm5Sc2
Source: the Alexandria database
Functional: PBE-GGA
Structure: optimized geometry

Computed properties:
SG: C2/m
E in eV/atom: -4.7055
N(E_F) in states/eV/atom: 1.506
Size of the total moment in μB per formula unit: 0.000
ΔH_f (0 K) in meV/atom: 118

a b c (Å): 9.1232 9.0593 8.5811
angles (deg): 91.94 90.00 120.23
Fractional positions:
Sm  0.9188  0.8377  0.1150
Sm  0.0337  0.6999  0.7657
Sm  0.6662  0.6999  0.7657
Sm  0.1745  0.7435  0.3168
Sm  0.5689  0.7435  0.3168
Sm  0.4408  0.8816  0.6597
Sm  0.5592  0.1184  0.3403
Sm  0.8255  0.2565  0.6832
Sm  0.4311  0.2565  0.6832
Sm  0.9663  0.3001  0.2343
Sm  0.3338  0.3001  0.2343
Sm  0.0812  0.1623  0.8850
Tm  0.2313  0.4626  0.5669
Tm  0.2997  0.5995  0.9730
Tm  0.0000  0.0000  0.5000
Tm  0.7003  0.4005  0.0270
Tm  0.7687  0.5374  0.4331
Sc  0.6666  0.0000  0.0000
Sc  0.3334  0.0000  0.0000


Entry 6:
Compound: Sm3TmSc
Source: the Alexandria database
Functional: PBE-GGA
Structure: optimized geometry

Computed properties:
SG: Pbcm
E in eV/atom: -4.8307
N(E_F) in states/eV/atom: 1.476
Size of the total moment in μB per formula unit: 0.000
Relative energy among the computed polymorphs in eV/f.u.: 0.44
ΔH_f (0 K) in meV/atom: 161

a b c (Å): 3.5054 10.5947 17.2960
angles (deg): 90.00 90.00 90.00
Fractional positions:
Sm  0.7462  0.5000  0.7500
Sm  0.2538  0.0000  0.2500
Sm  0.2538  0.5000  0.2500
Sm  0.7462  0.0000  0.7500
Sm  0.2477  0.5597  0.9232
Sm  0.2477  0.4403  0.5768
Sm  0.7523  0.0597  0.0768
Sm  0.7523  0.9403  0.4232
Sm  0.2477  0.0597  0.5768
Sm  0.2477  0.9403  0.9232
Sm  0.7523  0.5597  0.4232
Sm  0.7523  0.4403  0.0768
Tm  0.7450  0.2500  0.8965
Tm  0.7450  0.7500  0.6035
Tm  0.2550  0.7500  0.1035
Tm  0.2550  0.2500  0.3965
Sc  0.7549  0.2500  0.2277
Sc  0.7549  0.7500  0.2723
Sc  0.2451  0.7500  0.7723
Sc  0.2451  0.2500  0.7277


Which value of ΔH_f (0 K) does entry 4 give?
215 meV/atom